# 1
# GGA-PBE TaRhBr, optimized geometry
data_TaRhBr
_chemical_formula_sum 'Ta4 Rh4 Br4'
_symmetry_space_group_name_H-M 'F -4 3 m'
_symmetry_Int_Tables_number 216
_symmetry_space_group_name_Hall 'F -4 2 3'
_cell_length_a 6.209
_cell_length_b 6.209
_cell_length_c 6.209
_cell_angle_alpha 90.00
_cell_angle_beta 90.00
_cell_angle_gamma 90.00
loop_
_atom_site_label
_atom_site_type_symbol
_atom_site_fract_x
_atom_site_fract_y
_atom_site_fract_z
Ta1 Ta 0.000 0.000 0.000
Rh1 Rh 0.250 0.250 0.250
Br1 Br 0.250 0.250 0.750
# - polymorph energy (0 for the lowest one) (meV per atom) = 478
# - formation energy from raw total energies (eV per formula unit) = 1.338



# 2
# GGA-PBE KFeGe2, optimized geometry
data_KFeGe2
_chemical_formula_sum 'K3 Fe3 Ge6'
_symmetry_space_group_name_H-M 'R -3 m'
_symmetry_Int_Tables_number 166
_symmetry_space_group_name_Hall '-R 3 2"'
_cell_length_a 4.0159
_cell_length_b 4.0159
_cell_length_c 19.1816
_cell_angle_alpha 90.00
_cell_angle_beta 90.00
_cell_angle_gamma 120.00
loop_
_atom_site_label
_atom_site_type_symbol
_atom_site_fract_x
_atom_site_fract_y
_atom_site_fract_z
K1 K 0.0000 0.0000 0.0000
Fe1 Fe 0.0000 0.0000 0.5000
Ge1 Ge 0.0000 0.0000 0.2031
# - formation enthalpy at 0 K (eV/f.u.) = 0.17



# 3
# GGA-PBE La2SeNF, optimized geometry
data_La2SeNF
_chemical_formula_sum 'La8 Se4 N4 F4'
_symmetry_space_group_name_H-M 'C 1 2/m 1'
_symmetry_Int_Tables_number 12
_cell_length_a 13.752
_cell_length_b 4.089
_cell_length_c 9.946
_cell_angle_alpha 90.00
_cell_angle_beta 126.61
_cell_angle_gamma 90.00
loop_
_symmetry_equiv_pos_as_xyz
'x,y,z'
'-x,-y,-z'
'-x,y,-z'
'x,-y,z'
'x+1/2,y+1/2,z'
'-x+1/2,-y+1/2,-z'
'-x+1/2,y+1/2,-z'
'x+1/2,-y+1/2,z'
loop_
_atom_site_label
_atom_site_type_symbol
_atom_site_fract_x
_atom_site_fract_y
_atom_site_fract_z
La1 La 0.067 0.000 0.328
La2 La 0.158 0.500 0.082
Se1 Se 0.186 0.500 0.633
N1 N 0.040 0.500 0.181
F1 F 0.153 0.000 0.928
# - formation energy from raw total energies (eV per formula unit) = -12.221



# 4
# GGA-PBE ZrZnRu2, optimized geometry
data_ZrZnRu2
_chemical_formula_sum 'Zr2 Zn2 Ru4'
_symmetry_space_group_name_H-M 'C m m m'
_symmetry_Int_Tables_number 65
_symmetry_space_group_name_Hall '-C 2 2'
_cell_length_a 3.245
_cell_length_b 4.797
_cell_length_c 8.297
_cell_angle_alpha 90.00
_cell_angle_beta 90.00
_cell_angle_gamma 90.00
loop_
_atom_site_label
_atom_site_type_symbol
_atom_site_fract_x
_atom_site_fract_y
_atom_site_fract_z
Zr1 Zr 0.000 0.000 0.000
Zn1 Zn 0.000 0.000 0.500
Ru1 Ru 0.000 0.500 0.255
# - formation enthalpy at 0 K (eV/f.u.) = 0.04



# 5
# GGA-PBE Fe2AsRhS, optimized geometry
data_Fe2AsRhS
_chemical_formula_sum 'Fe2 As1 Rh1 S1'
_symmetry_space_group_name_H-M 'P 4/m m m'
_symmetry_Int_Tables_number 123
_symmetry_space_group_name_Hall '-P 4 2'
_cell_length_a 4.077
_cell_length_b 4.077
_cell_length_c 4.898
_cell_angle_alpha 90.00
_cell_angle_beta 90.00
_cell_angle_gamma 90.00
loop_
_atom_site_label
_atom_site_type_symbol
_atom_site_fract_x
_atom_site_fract_y
_atom_site_fract_z
Fe1 Fe 0.000 0.500 0.000
As1 As 0.000 0.000 0.500
Rh1 Rh 0.500 0.500 0.500
S1 S 0.000 0.000 0.000
# - formation energy from raw total energies (eV per formula unit) = 2.950



# 6
# GGA-PBE Zr3GaBi, optimized geometry
data_Zr3GaBi
_chemical_formula_sum 'Zr24 Ga8 Bi8'
_symmetry_space_group_name_H-M 'C 1 2/c 1'
_symmetry_Int_Tables_number 15
_cell_length_a 12.618
_cell_length_b 6.165
_cell_length_c 12.575
_cell_angle_alpha 90.00
_cell_angle_beta 97.00
_cell_angle_gamma 90.00
loop_
_symmetry_equiv_pos_as_xyz
'x,y,z'
'-x,-y,-z'
'-x,y,-z+1/2'
'x,-y,z+1/2'
'x+1/2,y+1/2,z'
'-x+1/2,-y+1/2,-z'
'-x+1/2,y+1/2,-z+1/2'
'x+1/2,-y+1/2,z+1/2'
loop_
_atom_site_label
_atom_site_type_symbol
_atom_site_fract_x
_atom_site_fract_y
_atom_site_fract_z
Zr1 Zr 0.062 0.207 0.062
Zr2 Zr 0.157 0.018 0.831
Zr3 Zr 0.172 0.481 0.342
Ga1 Ga 0.000 0.261 0.250
Ga2 Ga 0.250 0.250 0.000
Bi1 Bi 0.112 0.290 0.612
# - formation enthalpy at 0 K (eV/f.u.) = -0.34
# - polymorph energy (0 for the lowest one) (meV per atom) = 294



# 7
# GGA-PBE In3CoNi, optimized geometry
data_In3CoNi
_chemical_formula_sum 'In3 Co1 Ni1'
_symmetry_space_group_name_H-M 'P m -3 m'
_symmetry_Int_Tables_number 221
_symmetry_space_group_name_Hall '-P 4 2 3'
_cell_length_a 4.851
_cell_length_b 4.851
_cell_length_c 4.851
_cell_angle_alpha 90.00
_cell_angle_beta 90.00
_cell_angle_gamma 90.00
loop_
_atom_site_label
_atom_site_type_symbol
_atom_site_fract_x
_atom_site_fract_y
_atom_site_fract_z
In1 In 0.000 0.000 0.500
Co1 Co 0.000 0.000 0.000
Ni1 Ni 0.500 0.500 0.500
# - formation enthalpy at 0 K (eV/f.u.) = 2.48
# - polymorph energy (0 for the lowest one) (meV per atom) = 0



# 8
# GGA-PBE HfTlN2, optimized geometry
data_HfTlN2
_chemical_formula_sum 'Hf4 Tl4 N8'
_symmetry_space_group_name_H-M 'F m -3 m'
_symmetry_Int_Tables_number 225
_symmetry_space_group_name_Hall '-F 4 2 3'
_cell_length_a 5.935
_cell_length_b 5.935
_cell_length_c 5.935
_cell_angle_alpha 90.00
_cell_angle_beta 90.00
_cell_angle_gamma 90.00
loop_
_atom_site_label
_atom_site_type_symbol
_atom_site_fract_x
_atom_site_fract_y
_atom_site_fract_z
Hf1 Hf 0.000 0.000 0.000
Tl1 Tl 0.000 0.000 0.500
N1 N 0.250 0.250 0.250
# - polymorph energy (0 for the lowest one) (meV per atom) = 1121
# - formation energy from raw total energies (eV per formula unit) = 2.635



# 9
# GGA-PBE CsHoPb2F8, optimized geometry
data_CsHoPb2F8
_chemical_formula_sum 'Cs1 Ho1 Pb2 F8'
_symmetry_space_group_name_H-M 'P 1 2/m 1'
_symmetry_Int_Tables_number 10
_cell_length_a 4.176
_cell_length_b 8.394
_cell_length_c 6.195
_cell_angle_alpha 90.00
_cell_angle_beta 90.25
_cell_angle_gamma 90.00
loop_
_symmetry_equiv_pos_as_xyz
'x,y,z'
'-x,-y,-z'
'-x,y,-z'
'x,-y,z'
loop_
_atom_site_label
_atom_site_type_symbol
_atom_site_fract_x
_atom_site_fract_y
_atom_site_fract_z
Cs1 Cs 0.000 0.000 0.000
Ho1 Ho 0.000 0.500 0.000
Pb1 Pb 0.500 0.251 0.500
F1 F 0.001 0.301 0.753
F2 F 0.498 0.000 0.701
F3 F 0.499 0.500 0.198
# - formation energy from raw total energies (eV per formula unit) = -35.922



# 10
# GGA-PBE Y2Tm2Th3, optimized geometry
data_Y2Tm2Th3
_chemical_formula_sum 'Y4 Tm4 Th6'
_symmetry_space_group_name_H-M 'C 1 2/m 1'
_symmetry_Int_Tables_number 12
_cell_length_a 17.381
_cell_length_b 3.463
_cell_length_c 8.429
_cell_angle_alpha 90.00
_cell_angle_beta 117.35
_cell_angle_gamma 90.00
loop_
_symmetry_equiv_pos_as_xyz
'x,y,z'
'-x,-y,-z'
'-x,y,-z'
'x,-y,z'
'x+1/2,y+1/2,z'
'-x+1/2,-y+1/2,-z'
'-x+1/2,y+1/2,-z'
'x+1/2,-y+1/2,z'
loop_
_atom_site_label
_atom_site_type_symbol
_atom_site_fract_x
_atom_site_fract_y
_atom_site_fract_z
Y1 Y 0.069 0.000 0.405
Tm1 Tm 0.147 0.500 0.835
Th1 Th 0.000 0.500 0.000
Th2 Th 0.213 0.500 0.292
# - formation enthalpy at 0 K (eV/f.u.) = 0.97
# - polymorph energy (0 for the lowest one) (meV per atom) = 0



# 11
# GGA-PBE NaCd3Ga3, optimized geometry
data_NaCd3Ga3
_chemical_formula_sum 'Na2 Cd6 Ga6'
_symmetry_space_group_name_H-M 'P m -3 n'
_symmetry_Int_Tables_number 223
_symmetry_space_group_name_Hall '-P 4n 2 3'
_cell_length_a 7.630
_cell_length_b 7.630
_cell_length_c 7.630
_cell_angle_alpha 90.00
_cell_angle_beta 90.00
_cell_angle_gamma 90.00
loop_
_atom_site_label
_atom_site_type_symbol
_atom_site_fract_x
_atom_site_fract_y
_atom_site_fract_z
Na1 Na 0.000 0.000 0.000
Cd1 Cd 0.000 0.250 0.500
Ga1 Ga 0.000 0.500 0.250
# - formation enthalpy at 0 K (eV/f.u.) = 1.80
# - polymorph energy (0 for the lowest one) (meV per atom) = 223



# 12
# GGA-PBE La2Nd3Sm6Sc, optimized geometry
data_La2Nd3Sm6Sc
_chemical_formula_sum 'La4 Nd6 Sm12 Sc2'
_symmetry_space_group_name_H-M 'C 1 2/m 1'
_symmetry_Int_Tables_number 12
_cell_length_a 6.289
_cell_length_b 10.886
_cell_length_c 12.064
_cell_angle_alpha 90.00
_cell_angle_beta 100.07
_cell_angle_gamma 90.00
loop_
_symmetry_equiv_pos_as_xyz
'x,y,z'
'-x,-y,-z'
'-x,y,-z'
'x,-y,z'
'x+1/2,y+1/2,z'
'-x+1/2,-y+1/2,-z'
'-x+1/2,y+1/2,-z'
'x+1/2,-y+1/2,z'
loop_
_atom_site_label
_atom_site_type_symbol
_atom_site_fract_x
_atom_site_fract_y
_atom_site_fract_z
La1 La 0.000 0.167 0.000
Nd1 Nd 0.000 0.000 0.500
Nd2 Nd 0.000 0.333 0.500
Sm1 Sm 0.247 0.335 0.248
Sm2 Sm 0.247 0.500 0.751
Sc1 Sc 0.000 0.500 0.000
# - formation enthalpy at 0 K (eV/f.u.) = 0.34



| no. | spin magnetization (μB/atom) |
| --- | --- |
| 1 | 0.000 |
| 2 | 0.001 |
| 3 | 0.000 |
| 4 | 0.000 |
| 5 | 0.931 |
| 6 | 0.000 |
| 7 | 0.100 |
| 8 | 0.000 |
| 9 | 0.000 |
| 10 | 0.000 |
| 11 | 0.000 |
| 12 | 0.000 |